No. 1
DFT (PBE-GGA) results for a relaxed structure of Na3Cd4Ag.

a = 6.864 Å, b = 6.864 Å, c = 6.864 Å
α = 80.24°, β = 124.82°, γ = 126.77°
Fractional coordinates of all 8 atoms:
Na1 0.582 0.282 0.864
Na2 0.841 0.000 0.841
Na3 0.582 0.718 0.300
Cd1 0.099 0.752 0.851
Cd2 0.099 0.248 0.347
Cd3 0.592 0.242 0.350
Cd4 0.108 0.758 0.350
Ag1 0.248 0.500 0.748

Its space-group type is Imm2 (44). The calculation puts the polymorph energy (0 for the lowest one) at 1.40 kcal/mol of atoms. As for the crystal system: orthorhombic.



No. 2
DFT (PBE-GGA) results for a relaxed structure of KZnRu2.

a = 6.077 Å, b = 6.077 Å, c = 6.077 Å
α = 153.92°, β = 126.98°, γ = 60.02°
Fractional coordinates of all 4 atoms:
K1 0.754 0.254 0.500
Ru1 0.045 0.045 0.000
Ru2 0.242 0.742 0.500
Zn1 0.459 0.459 0.000

Its space-group type is Imm2 (44). The total energy comes out at -4.33 eV per atom. As for the crystal system: orthorhombic.



No. 3
DFT (PBE-GGA) results for a relaxed structure of YInSb2.

a = 7.835 Å, b = 5.191 Å, c = 4.076 Å
α = 90.12°, β = 58.46°, γ = 123.32°
Fractional coordinates of all 4 atoms:
In1 0.500 0.500 0.000
Sb1 0.000 0.000 0.000
Sb2 0.500 0.000 0.500
Y1 0.000 0.500 0.500

Its space-group type is C2/m (12). The total energy comes out at -4.82 eV per atom. As for the crystal system: monoclinic.



No. 4
DFT (PBE-GGA) results for a relaxed structure of ScBeNb.

a = 4.691 Å, b = 4.691 Å, c = 5.944 Å
α = 66.76°, β = 66.76°, γ = 60.00°
Fractional coordinates of all 6 atoms:
Be1 0.000 0.000 0.000
Be2 0.500 0.500 0.500
Sc1 0.344 0.344 0.968
Sc2 0.656 0.656 0.032
Nb1 0.152 0.152 0.545
Nb2 0.848 0.848 0.455

Its space-group type is R-3m (166). The calculation puts the polymorph energy (0 for the lowest one) at 7.37 kcal/mol of atoms. As for the crystal system: trigonal.



No. 5
DFT (PBE-GGA) results for a relaxed structure of Cs4ScI7.

a = 5.796 Å, b = 12.066 Å, c = 10.561 Å
α = 82.61°, β = 74.07°, γ = 76.10°
Fractional coordinates of all 12 atoms:
Cs1 0.611 0.243 0.536
Cs2 0.389 0.757 0.464
Cs3 0.726 0.646 0.902
Cs4 0.274 0.354 0.098
Sc1 0.000 0.000 0.000
I1 0.725 0.901 0.649
I2 0.275 0.099 0.351
I3 0.042 0.787 0.128
I4 0.958 0.213 0.872
I5 0.373 0.506 0.747
I6 0.500 0.000 0.000
I7 0.627 0.494 0.253

Its space-group type is C2/m (12). The total energy comes out at -2.97 eV per atom. As for the crystal system: monoclinic.



No. 6
DFT (PBE-GGA) results for a relaxed structure of Ac2Ga5Ru4.

a = 5.569 Å, b = 5.982 Å, c = 8.041 Å
α = 80.72°, β = 69.74°, γ = 62.26°
Fractional coordinates of all 11 atoms:
Ac1 0.847 0.000 0.305
Ac2 0.153 0.000 0.695
Ga1 0.500 0.000 0.000
Ga2 0.000 0.500 0.000
Ga3 0.500 0.500 0.000
Ga4 0.250 0.500 0.500
Ga5 0.750 0.500 0.500
Ru1 0.467 0.312 0.754
Ru2 0.533 0.688 0.246
Ru3 0.221 0.312 0.246
Ru4 0.779 0.688 0.754

Its space-group type is Fmmm (69). The total energy comes out at -5.84 eV per atom. As for the crystal system: orthorhombic.



No. 7
DFT (PBE-GGA) results for a relaxed structure of Y2MnSb.

a = 7.996 Å, b = 7.996 Å, c = 6.394 Å
α = 51.30°, β = 51.30°, γ = 90.00°
Fractional coordinates of all 8 atoms:
Y1 0.559 0.125 0.250
Y2 0.191 0.625 0.250
Y3 0.375 0.441 0.750
Y4 0.875 0.809 0.750
Sb1 0.000 0.000 0.000
Sb2 0.750 0.250 0.500
Mn1 0.500 0.500 0.000
Mn2 0.250 0.750 0.500

Its space-group type is I-42d (122). The total energy comes out at -6.35 eV per atom. As for the crystal system: tetragonal.



No. 8
DFT (PBE-GGA) results for a relaxed structure of PuCdAgAu.

a = 5.035 Å, b = 5.035 Å, c = 5.035 Å
α = 60.00°, β = 60.00°, γ = 60.00°
Fractional coordinates of all 4 atoms:
Cd1 0.750 0.750 0.750
Au1 0.250 0.250 0.250
Ag1 0.000 0.000 0.000
Pu1 0.500 0.500 0.500

Its space-group type is F-43m (216). The total energy comes out at -5.45 eV per atom. As for the crystal system: cubic.



No. 9
DFT (PBE-GGA) results for a relaxed structure of Sc2VAg.

a = 3.509 Å, b = 4.736 Å, c = 4.736 Å
α = 90.00°, β = 90.00°, γ = 90.00°
Fractional coordinates of all 4 atoms:
Sc1 0.000 0.000 0.500
Sc2 0.000 0.500 0.000
Ag1 0.500 0.000 0.000
V1 0.500 0.500 0.500

Its space-group type is P4/mmm (123). The calculation puts the polymorph energy (0 for the lowest one) at 0.00 kcal/mol of atoms. As for the crystal system: tetragonal.



No. 10
DFT (PBE-GGA) results for a relaxed structure of LiNb2Hg2Se6.

a = 6.383 Å, b = 6.383 Å, c = 8.398 Å
α = 99.14°, β = 99.14°, γ = 120.02°
Fractional coordinates of all 11 atoms:
Li1 0.000 0.000 0.500
Nb1 0.336 0.664 0.500
Nb2 0.664 0.336 0.500
Hg1 0.815 0.185 0.000
Hg2 0.185 0.815 0.000
Se1 0.740 0.740 0.698
Se2 0.078 0.425 0.694
Se3 0.260 0.260 0.302
Se4 0.425 0.078 0.694
Se5 0.922 0.575 0.306
Se6 0.575 0.922 0.306

Its space-group type is C2/m (12). The total energy comes out at -4.51 eV per atom. As for the crystal system: monoclinic.



No. 11
DFT (PBE-GGA) results for a relaxed structure of LaSm4Ga2.

a = 4.994 Å, b = 4.994 Å, c = 10.749 Å
α = 76.57°, β = 76.57°, γ = 60.00°
Fractional coordinates of all 7 atoms:
La1 0.500 0.500 0.500
Sm1 0.702 0.702 0.893
Sm2 0.896 0.896 0.313
Sm3 0.298 0.298 0.107
Sm4 0.104 0.104 0.687
Ga1 0.600 0.600 0.199
Ga2 0.400 0.400 0.801

Its space-group type is R-3m (166). The total energy comes out at -4.37 eV per atom. As for the crystal system: trigonal.



No. 12
DFT (PBE-GGA) results for a relaxed structure of CaNdY2.

a = 3.680 Å, b = 3.680 Å, c = 10.422 Å
α = 90.00°, β = 90.00°, γ = 90.00°
Fractional coordinates of all 4 atoms:
Y1 0.000 0.000 0.766
Y2 0.000 0.000 0.234
Ca1 0.500 0.500 0.500
Nd1 0.500 0.500 0.000

Its space-group type is P4/mmm (123). The calculation puts the polymorph energy (0 for the lowest one) at 0.33 kcal/mol of atoms. As for the crystal system: tetragonal.



No. 13
DFT (PBE-GGA) results for a relaxed structure of SrCdIn.

a = 5.095 Å, b = 5.095 Å, c = 4.019 Å
α = 90.00°, β = 90.00°, γ = 120.00°
Fractional coordinates of all 3 atoms:
Sr1 0.333 0.667 0.667
Cd1 0.000 0.000 0.166
In1 0.667 0.333 0.167

Its space-group type is P-6m2 (187). The total energy comes out at -2.18 eV per atom. As for the crystal system: hexagonal.



No. 14
DFT (PBE-GGA) results for a relaxed structure of KSc2Pb.

a = 4.632 Å, b = 4.881 Å, c = 4.881 Å
α = 90.00°, β = 90.00°, γ = 90.00°
Fractional coordinates of all 4 atoms:
K1 0.500 0.500 0.000
Pb1 0.500 0.000 0.500
Sc1 0.000 0.000 0.000
Sc2 0.000 0.500 0.500

Its space-group type is P4/mmm (123). The total energy comes out at -4.15 eV per atom. As for the crystal system: tetragonal.



No. 15
DFT (PBE-GGA) results for a relaxed structure of La6GaPt2Br3.

a = 4.279 Å, b = 9.218 Å, c = 10.126 Å
α = 106.19°, β = 102.20°, γ = 90.00°
Fractional coordinates of all 12 atoms:
La1 0.340 0.888 0.680
La2 0.677 0.559 0.355
La3 0.660 0.112 0.320
La4 0.013 0.243 0.025
La5 0.987 0.757 0.975
La6 0.323 0.441 0.645
Ga1 0.500 0.000 0.000
Pt1 0.832 0.663 0.663
Pt2 0.168 0.337 0.337
Br1 0.500 0.500 0.000
Br2 0.840 0.166 0.680
Br3 0.160 0.834 0.320

Its space-group type is C2/m (12). The total energy comes out at -5.34 eV per atom. As for the crystal system: monoclinic.



No. 16
DFT (PBE-GGA) results for a relaxed structure of HfZr2Hg.

a = 4.188 Å, b = 4.188 Å, c = 11.054 Å
α = 79.08°, β = 79.08°, γ = 90.00°
Fractional coordinates of all 8 atoms:
Hf1 0.500 0.500 0.000
Hf2 0.250 0.750 0.500
Hg1 0.000 0.000 0.000
Hg2 0.750 0.250 0.500
Zr1 0.624 0.125 0.250
Zr2 0.126 0.625 0.250
Zr3 0.375 0.376 0.750
Zr4 0.875 0.874 0.750

Its space-group type is I-42d (122). The total energy comes out at -6.49 eV per atom. As for the crystal system: tetragonal.



No. 17
DFT (PBE-GGA) results for a relaxed structure of PrHo12Tl3.

a = 4.850 Å, b = 4.850 Å, c = 19.861 Å
α = 90.00°, β = 90.00°, γ = 90.00°
Fractional coordinates of all 16 atoms:
Pr1 0.000 0.000 0.000
Ho1 0.500 0.500 0.000
Ho2 0.500 0.500 0.257
Ho3 0.500 0.500 0.500
Ho4 0.500 0.500 0.743
Ho5 0.500 0.000 0.132
Ho6 0.500 0.000 0.378
Ho7 0.500 0.000 0.622
Ho8 0.500 0.000 0.868
Ho9 0.000 0.500 0.132
Ho10 0.000 0.500 0.378
Ho11 0.000 0.500 0.622
Ho12 0.000 0.500 0.868
Tl1 0.000 0.000 0.258
Tl2 0.000 0.000 0.500
Tl3 0.000 0.000 0.742

Its space-group type is P4/mmm (123). The total energy comes out at -4.29 eV per atom. As for the crystal system: tetragonal.